This record from the Open Quantum Materials Database describes an optimized crystal structure of Li2Zn2GaSiPd2. The functional is PBE.

abc: 4.292 4.292 6.062
angles: 90.00 90.00 90.00
Space group P-4m2 (No. 115)
Inequivalent atoms, fractional coordinates:
Li  0.000  0.500  0.246
Zn  0.000  0.000  0.000
Zn  0.500  0.500  0.500
Ga  0.000  0.000  0.500
Si  0.500  0.500  0.000
Pd  0.000  0.500  0.762

## Properties
E_tot in eV per atom: -3.61